First-principles (PBE) data for an optimized crystal structure of MnGa2H2, as listed in Alexandria.

Output
D(E_F) = 0.28 states/eV per atom
calculated total energy = -4.0963 eV per atom

Cell lengths 2.7450, 2.7450, 13.2831 Å; angles 90.00, 90.00, 90.00 degrees
Last column: nearest neighbours and their distance in Å.
Space group I4/mmm (No. 139)
One atom of each set of equivalent atoms:
Mn1 0.0000 0.0000 0.0000 [2 per cell]  8 Ga 2.62, 4 Mn 2.75
Ga1 0.0000 0.0000 0.3670 [4 per cell]  4 H 2.07
H1 0.0000 0.5000 0.2500 [4 per cell]  4 H 1.94, 4 Ga 2.07



First-principles (PBE) data for an optimized crystal structure of Be2CdMoC, as listed in Alexandria.

Output
D(E_F) = 0.51 states/eV per atom
calculated total energy = -4.5495 eV per atom
formation energy from the elements = 1135 meV per atom

Cell lengths 3.7714, 3.7714, 4.6409 Å; angles 90.00, 90.00, 90.00 degrees
Last column: nearest neighbours and their distance in Å.
Space group P4/mmm (No. 123)
One atom of each set of equivalent atoms:
Be1 0.0000 0.5000 0.0000 [2 per cell]  2 C 1.89
Cd1 0.0000 0.0000 0.5000 [1 per cell]  2 C 2.32
Mo1 0.5000 0.5000 0.5000 [1 per cell]  4 Cd 2.67
C1 0.0000 0.0000 0.0000 [1 per cell]  4 Be 1.89



First-principles (PBE) data for an optimized crystal structure of TbDy6Cd2, as listed in Alexandria.

Output
D(E_F) = 1.03 states/eV per atom
calculated total energy = -3.9153 eV per atom
formation energy from the elements = -129 meV per atom

Cell lengths 12.5913, 3.7380, 11.8499 Å; angles 90.00, 108.65, 90.00 degrees
Last column: nearest neighbours and their distance in Å.
Space group C2/m (No. 12)
One atom of each set of equivalent atoms:
Tb1 0.0000 0.0000 0.0000 [2 per cell]  4 Cd 3.18
Dy1 0.0153 0.0000 0.3396 [4 per cell]  2 Cd 3.20, 7 Dy 3.51-3.56
Dy2 0.1849 0.5000 0.8768 [4 per cell]  2 Cd 3.23, 5 Dy 3.41-3.51
Dy3 0.1875 0.5000 0.5838 [4 per cell]  2 Cd 3.25, 8 Dy 3.45-3.56
Cd1 0.1468 0.5000 0.2091 [4 per cell]  2 Tb 3.18, 6 Dy 3.20-3.25



First-principles (PBE) data for an optimized crystal structure of SbS2Cl2, as listed in Alexandria.

Output
E_form (uncorrected) = -33.4 kJ per mole of atoms
calculated total energy = -3.5602 eV per atom
offset from the most stable computed form = 0 meV per atom

Cell lengths 6.8938, 14.1303, 7.3603 Å; angles 90.00, 104.10, 90.00 degrees
Last column: nearest neighbours and their distance in Å.
Space group C2/m (No. 12)
One atom of each set of equivalent atoms:
Sb1 0.0000 0.1656 0.0000 [4 per cell]  4 Cl 2.57-2.87
S1 0.0587 0.0000 0.2457 [4 per cell]  1 S 1.99
S2 0.2405 0.5000 0.9089 [4 per cell]  1 S 1.99
Cl1 0.2306 0.2805 0.2232 [8 per cell]  2 Sb 2.57-2.87



First-principles (PBE) data for an optimized crystal structure of Zn2PdBr8, as listed in Alexandria.

Output
E_form (uncorrected) = -49.6 kJ per mole of atoms
calculated total energy = -2.4342 eV per atom

Cell lengths 11.9510, 10.2686, 6.5080 Å; angles 90.00, 102.47, 90.00 degrees
Last column: nearest neighbours and their distance in Å.
Space group C2/m (No. 12)
One atom of each set of equivalent atoms:
Zn1 0.1985 0.0000 0.1723 [4 per cell]  4 Br 2.32-2.50
Pd1 0.0000 0.0000 0.5000 [2 per cell]  6 Br 2.51-2.59
Br1 0.0856 0.1711 0.3047 [8 per cell]  1 Zn 2.48, 1 Pd 2.51
Br2 0.1025 0.5000 0.7657 [4 per cell]  1 Zn 2.32
Br3 0.1879 0.0000 0.7850 [4 per cell]  1 Zn 2.50, 1 Pd 2.59



First-principles (PBE) data for an optimized crystal structure of PrInPb2, as listed in Alexandria.

Output
D(E_F) = 0.42 states/eV per atom
calculated total energy = -4.1414 eV per atom
offset from the most stable computed form = 0 meV per atom
formation energy from the elements = -408 meV per atom

Cell lengths 4.8697, 4.8697, 4.9026 Å; angles 90.00, 90.00, 90.00 degrees
Last column: nearest neighbours and their distance in Å.
Space group P4/mmm (No. 123)
One atom of each set of equivalent atoms:
Pr1 0.0000 0.0000 0.0000 [1 per cell]  4 In 3.44, 8 Pb 3.46
In1 0.5000 0.5000 0.0000 [1 per cell]  4 Pr 3.44, 8 Pb 3.46
Pb1 0.0000 0.5000 0.5000 [2 per cell]  4 Pb 3.44, 4 In 3.46, 4 Pr 3.46